Crystalline TlHgBr2F at its relaxed geometry. Source: the Alexandria database, functional GGA-PBE.

Cell lengths 5.661, 5.661, 4.548 Å; angles 90.00, 90.00, 90.00 degrees
Space group P4/mmm (No. 123)
Symmetry-distinct sites (fractional):
Tl 0.000 0.000 0.000 (multiplicity 1)
Hg 0.500 0.500 0.500 (multiplicity 1)
Br 0.000 0.500 0.500 (multiplicity 2)
F 0.500 0.500 0.000 (multiplicity 1)

Summary:
As for the magnetic moment: 0.00 μB/cell. Its uncorrected formation energy is -0.871 eV/atom. For the energy above the lowest structure with this stoichiometry, the calculation gives 9.4 kJ per mole of atoms.

Crystalline TlHgBr2F at its relaxed geometry. Source: the Alexandria database, functional GGA-PBE.

Cell lengths 8.277, 4.201, 9.291 Å; angles 90.00, 105.71, 90.00 degrees
Space group P2_1/m (No. 11)
Symmetry-distinct sites (fractional):
Tl 0.224 0.250 0.092 (multiplicity 2)
Hg 0.154 0.750 0.683 (multiplicity 2)
Br 0.116 0.750 0.378 (multiplicity 2)
Br 0.380 0.250 0.774 (multiplicity 2)
F 0.101 0.750 0.923 (multiplicity 2)

Summary:
As for the magnetic moment: 0.00 μB/cell. Its uncorrected formation energy is -0.968 eV/atom. For the energy above the lowest structure with this stoichiometry, the calculation gives 0.0 kJ per mole of atoms.

Crystalline TlHgBrF2 at its relaxed geometry. Source: the Alexandria database, functional GGA-PBE.

Cell lengths 4.675, 4.675, 5.585 Å; angles 90.00, 90.00, 90.00 degrees
Space group P4/mmm (No. 123)
Symmetry-distinct sites (fractional):
Tl 0.000 0.000 0.000 (multiplicity 1)
Hg 0.500 0.500 0.500 (multiplicity 1)
Br 0.500 0.500 0.000 (multiplicity 1)
F 0.000 0.500 0.500 (multiplicity 2)

Summary:
As for the magnetic moment: 0.00 μB/cell. Its uncorrected formation energy is -1.176 eV/atom. For the energy above the lowest structure with this stoichiometry, the calculation gives 10.1 kJ per mole of atoms.

Crystalline TlHgBrF2 at its relaxed geometry. Source: the Alexandria database, functional GGA-PBE.

Cell lengths 6.689, 4.554, 8.512 Å; angles 90.00, 99.99, 90.00 degrees
Space group P2_1/m (No. 11)
Symmetry-distinct sites (fractional):
Tl 0.207 0.250 0.412 (multiplicity 2)
Hg 0.189 0.250 0.914 (multiplicity 2)
Br 0.482 0.750 0.191 (multiplicity 2)
F 0.007 0.750 0.903 (multiplicity 2)
F 0.010 0.750 0.354 (multiplicity 2)

Summary:
As for the magnetic moment: 0.00 μB/cell. Its uncorrected formation energy is -1.281 eV/atom. For the energy above the lowest structure with this stoichiometry, the calculation gives 0.0 kJ per mole of atoms.

Crystalline UHg2Br5F4 at its relaxed geometry. Source: the Alexandria database, functional GGA-PBE.

Cell lengths 7.166, 12.519, 8.115 Å; angles 90.00, 90.00, 90.00 degrees
Space group Amm2 (No. 38)
Symmetry-distinct sites (fractional):
U 0.000 0.000 0.000 (multiplicity 2)
Hg 0.500 0.223 0.788 (multiplicity 4)
Br 0.241 0.247 0.042 (multiplicity 8)
Br 0.500 0.000 0.846 (multiplicity 2)
F 0.000 0.105 0.808 (multiplicity 4)
F 0.194 0.000 0.183 (multiplicity 4)

Summary:
As for the magnetic moment: 2.19 μB/cell. Its uncorrected formation energy is -1.563 eV/atom.

Crystalline ZnHg3Br2F6 at its relaxed geometry. Source: the Alexandria database, functional GGA-PBE.

Cell lengths 11.635, 7.153, 5.959 Å; angles 90.00, 93.26, 90.00 degrees
Space group C2/m (No. 12)
Symmetry-distinct sites (fractional):
Zn 0.000 0.000 0.000 (multiplicity 2)
Hg 0.000 0.500 0.500 (multiplicity 2)
Hg 0.250 0.250 0.000 (multiplicity 4)
Br 0.200 0.500 0.372 (multiplicity 4)
F 0.077 0.220 0.821 (multiplicity 8)
F 0.153 0.000 0.180 (multiplicity 4)

Summary:
As for the magnetic moment: 0.00 μB/cell. Its uncorrected formation energy is -1.348 eV/atom.